(1)
Material: RbFeOs
Method: DFT, PBE
State: relaxed

Unit cell a=6.7312 b=6.7312 c=6.7312 alpha=90.00 beta=90.00 gamma=90.00
With the nearest neighbours (Å) after each atom.
Atoms (fractional coordinates):
Rb (0.0000, 0.0000, 0.0000)  4 Fe 2.91, 4 Os 2.91
Rb (0.0000, 0.5000, 0.5000)  4 Fe 2.91, 4 Os 2.91
Rb (0.5000, 0.0000, 0.5000)  4 Fe 2.91, 4 Os 2.91
Rb (0.5000, 0.5000, 0.0000)  4 Fe 2.91, 4 Os 2.91
Fe (0.2500, 0.2500, 0.7500)  4 Rb 2.91
Fe (0.2500, 0.7500, 0.2500)  4 Rb 2.91
Fe (0.7500, 0.2500, 0.2500)  4 Rb 2.91
Fe (0.7500, 0.7500, 0.7500)  4 Rb 2.91
Os (0.2500, 0.2500, 0.2500)  4 Rb 2.91
Os (0.2500, 0.7500, 0.7500)  4 Rb 2.91
Os (0.7500, 0.2500, 0.7500)  4 Rb 2.91
Os (0.7500, 0.7500, 0.2500)  4 Rb 2.91

Values from the calculation:
* calculated density: 7.22 g/cm3
* ΔE to the lowest computed polymorph: 0.898 eV per atom
* symmetry: F-43m, No. 216

(2)
Material: SmCo3P2
Method: DFT, PBE
State: relaxed

Unit cell a=3.7260 b=10.5577 c=12.2480 alpha=90.00 beta=90.00 gamma=90.00
With the nearest neighbours (Å) after each atom.
Atoms (fractional coordinates):
Sm (0.2500, 0.0668, 0.2058)  6 P 2.83-2.90, 9 Co 2.90-3.10
Sm (0.2500, 0.2500, 0.4781)  6 P 2.89-2.98, 10 Co 2.91-3.19
Sm (0.2500, 0.4332, 0.2058)  6 P 2.83-2.90, 9 Co 2.90-3.10
Sm (0.7500, 0.5668, 0.7942)  6 P 2.83-2.90, 9 Co 2.90-3.10
Sm (0.7500, 0.7500, 0.5219)  6 P 2.89-2.98, 10 Co 2.91-3.19
Sm (0.7500, 0.9332, 0.7942)  6 P 2.83-2.90, 9 Co 2.90-3.10
Co (0.2500, 0.1308, 0.7102)  4 P 2.28-2.34, 1 Co 2.52
Co (0.2500, 0.2500, 0.0137)  4 P 2.16-2.24
Co (0.2500, 0.3692, 0.7102)  4 P 2.28-2.34, 1 Co 2.52
Co (0.2500, 0.5473, 0.4304)  4 P 2.24-2.40
Co (0.2500, 0.5837, 0.9955)  4 P 2.22-2.30
Co (0.2500, 0.7500, 0.1580)  1 P 2.25
Co (0.2500, 0.7500, 0.7040)  3 P 2.21-2.30
Co (0.2500, 0.9163, 0.9955)  4 P 2.22-2.30
Co (0.2500, 0.9527, 0.4304)  4 P 2.24-2.40
Co (0.7500, 0.0473, 0.5696)  4 P 2.24-2.40
Co (0.7500, 0.0837, 0.0045)  4 P 2.22-2.30
Co (0.7500, 0.2500, 0.2960)  3 P 2.21-2.30
Co (0.7500, 0.2500, 0.8420)  1 P 2.25
Co (0.7500, 0.4163, 0.0045)  4 P 2.22-2.30
Co (0.7500, 0.4527, 0.5696)  4 P 2.24-2.40
Co (0.7500, 0.6308, 0.2898)  4 P 2.28-2.34, 1 Co 2.52
Co (0.7500, 0.7500, 0.9863)  4 P 2.16-2.24
Co (0.7500, 0.8692, 0.2898)  4 P 2.28-2.34, 1 Co 2.52
P (0.2500, 0.0986, 0.8946)  5 Co 2.16-2.30
P (0.2500, 0.4014, 0.8946)  5 Co 2.16-2.30
P (0.2500, 0.5582, 0.6150)  5 Co 2.24-2.31
P (0.2500, 0.7500, 0.3418)  7 Co 2.25-2.40
P (0.2500, 0.7500, 0.8844)  5 Co 2.21-2.24
P (0.2500, 0.9418, 0.6150)  5 Co 2.24-2.31
P (0.7500, 0.0582, 0.3850)  5 Co 2.24-2.31
P (0.7500, 0.2500, 0.1156)  5 Co 2.21-2.24
P (0.7500, 0.2500, 0.6582)  7 Co 2.25-2.40
P (0.7500, 0.4418, 0.3850)  5 Co 2.24-2.31
P (0.7500, 0.5986, 0.1054)  5 Co 2.16-2.30
P (0.7500, 0.9014, 0.1054)  5 Co 2.16-2.30

Values from the calculation:
* E_tot: -253.2 eV for the cell shown
* calculated density: 8.05 g/cm3
* symmetry: Pmmn, No. 59

(3)
Material: ErHgOs
Method: DFT, PBE
State: relaxed

Unit cell a=6.6164 b=6.6164 c=6.6164 alpha=90.00 beta=90.00 gamma=90.00
With the nearest neighbours (Å) after each atom.
Atoms (fractional coordinates):
Er (0.0000, 0.0000, 0.0000)  4 Hg 2.87, 4 Os 2.87
Er (0.0000, 0.5000, 0.5000)  4 Hg 2.87, 4 Os 2.87
Er (0.5000, 0.0000, 0.5000)  4 Hg 2.87, 4 Os 2.87
Er (0.5000, 0.5000, 0.0000)  4 Hg 2.87, 4 Os 2.87
Hg (0.2500, 0.2500, 0.7500)  4 Er 2.87
Hg (0.2500, 0.7500, 0.2500)  4 Er 2.87
Hg (0.7500, 0.2500, 0.2500)  4 Er 2.87
Hg (0.7500, 0.7500, 0.7500)  4 Er 2.87
Os (0.2500, 0.2500, 0.2500)  4 Er 2.87
Os (0.2500, 0.7500, 0.7500)  4 Er 2.87
Os (0.7500, 0.2500, 0.7500)  4 Er 2.87
Os (0.7500, 0.7500, 0.2500)  4 Er 2.87

Values from the calculation:
* calculated density: 12.80 g/cm3
* ΔE to the lowest computed polymorph: 0.404 eV per atom
* formation enthalpy at 0 K: 0.77 eV/atom
* symmetry: F-43m, No. 216

(4)
Material: Sm2AgSe3
Method: DFT, PBE
State: relaxed

Unit cell a=10.6542 b=4.0391 c=13.7751 alpha=90.00 beta=90.00 gamma=90.00
With the nearest neighbours (Å) after each atom.
Atoms (fractional coordinates):
Sm (0.0168, 0.2500, 0.2466)  6 Se 2.97-3.06
Sm (0.2257, 0.7500, 0.5212)  7 Se 3.00-3.36
Sm (0.2743, 0.2500, 0.0212)  7 Se 3.00-3.36
Sm (0.4832, 0.7500, 0.7466)  6 Se 2.97-3.06
Sm (0.5168, 0.2500, 0.2534)  6 Se 2.97-3.06
Sm (0.7257, 0.7500, 0.9788)  7 Se 3.00-3.36
Sm (0.7743, 0.2500, 0.4788)  7 Se 3.00-3.36
Sm (0.9832, 0.7500, 0.7534)  6 Se 2.97-3.06
Ag (0.2343, 0.2500, 0.7306)  4 Se 2.62-2.69
Ag (0.2657, 0.7500, 0.2306)  4 Se 2.62-2.69
Ag (0.7343, 0.2500, 0.7694)  4 Se 2.62-2.69
Ag (0.7657, 0.7500, 0.2694)  4 Se 2.62-2.69
Se (0.0456, 0.2500, 0.6028)  1 Ag 2.67, 2 Sm 2.97
Se (0.0884, 0.7500, 0.0990)  1 Ag 2.62
Se (0.2358, 0.7500, 0.8595)  2 Ag 2.69
Se (0.2642, 0.2500, 0.3595)  2 Ag 2.69
Se (0.4116, 0.2500, 0.5990)  1 Ag 2.62
Se (0.4544, 0.7500, 0.1028)  1 Ag 2.67, 2 Sm 2.97
Se (0.5456, 0.2500, 0.8972)  1 Ag 2.67, 2 Sm 2.97
Se (0.5884, 0.7500, 0.4010)  1 Ag 2.62
Se (0.7358, 0.7500, 0.6405)  2 Ag 2.69
Se (0.7642, 0.2500, 0.1405)  2 Ag 2.69
Se (0.9116, 0.2500, 0.9010)  1 Ag 2.62
Se (0.9544, 0.7500, 0.3972)  1 Ag 2.67, 2 Sm 2.97

Values from the calculation:
* calculated density: 7.23 g/cm3
* ΔE to the lowest computed polymorph: 0.009 eV per atom
* symmetry: Pnma, No. 62